# 1
LiSmErGe | GGA-PBE | optimized geometry

The structure in CIF format:
```
data_LiSmErGe
_chemical_formula_sum 'Li4 Sm4 Er4 Ge4'
_space_group_name_H-M_alt 'F -4 3 m'
_space_group_IT_number 216
_space_group_name_Hall 'F -4 2 3'
_cell_length_a 7.137
_cell_length_b 7.137
_cell_length_c 7.137
_cell_angle_alpha 90.00
_cell_angle_beta 90.00
_cell_angle_gamma 90.00
loop_
_atom_site_label
_atom_site_type_symbol
_atom_site_fract_x
_atom_site_fract_y
_atom_site_fract_z
Li1 Li 0.000 0.000 0.000
Sm1 Sm 0.250 0.250 0.250
Er1 Er 0.250 0.250 0.750
Ge1 Ge 0.000 0.000 0.500
```

Energy of formation = -0.408 eV per atom

---

# 2
Li2Sm2ErGe2 | GGA-PBE | optimized geometry

The structure in CIF format:
```
data_Li2Sm2ErGe2
_chemical_formula_sum 'Li6 Sm6 Er3 Ge6'
_space_group_name_H-M_alt 'R -3 m'
_space_group_IT_number 166
_space_group_name_Hall '-R 3 2"'
_cell_length_a 4.4116
_cell_length_b 4.4116
_cell_length_c 28.4803
_cell_angle_alpha 90.00
_cell_angle_beta 90.00
_cell_angle_gamma 120.00
loop_
_atom_site_label
_atom_site_type_symbol
_atom_site_fract_x
_atom_site_fract_y
_atom_site_fract_z
Li1 Li 0.0000 0.0000 0.1107
Sm1 Sm 0.0000 0.0000 0.3771
Er1 Er 0.0000 0.0000 0.5000
Ge1 Ge 0.0000 0.0000 0.2285
```

Energy of formation = -0.482 eV per atom

---

# 3
LiErSnGe | GGA-PBE | optimized geometry

The structure in CIF format:
```
data_LiErSnGe
_chemical_formula_sum 'Li4 Er4 Sn4 Ge4'
_space_group_name_H-M_alt 'F -4 3 m'
_space_group_IT_number 216
_space_group_name_Hall 'F -4 2 3'
_cell_length_a 7.100
_cell_length_b 7.100
_cell_length_c 7.100
_cell_angle_alpha 90.00
_cell_angle_beta 90.00
_cell_angle_gamma 90.00
loop_
_atom_site_label
_atom_site_type_symbol
_atom_site_fract_x
_atom_site_fract_y
_atom_site_fract_z
Li1 Li 0.000 0.000 0.000
Er1 Er 0.000 0.000 0.500
Sn1 Sn 0.250 0.250 0.750
Ge1 Ge 0.250 0.250 0.250
```

Energy of formation = -0.367 eV per atom

---

# 4
LiTbErGe | GGA-PBE | optimized geometry

The structure in CIF format:
```
data_LiTbErGe
_chemical_formula_sum 'Li4 Tb4 Er4 Ge4'
_space_group_name_H-M_alt 'F -4 3 m'
_space_group_IT_number 216
_space_group_name_Hall 'F -4 2 3'
_cell_length_a 7.071
_cell_length_b 7.071
_cell_length_c 7.071
_cell_angle_alpha 90.00
_cell_angle_beta 90.00
_cell_angle_gamma 90.00
loop_
_atom_site_label
_atom_site_type_symbol
_atom_site_fract_x
_atom_site_fract_y
_atom_site_fract_z
Li1 Li 0.000 0.000 0.000
Tb1 Tb 0.250 0.250 0.250
Er1 Er 0.250 0.250 0.750
Ge1 Ge 0.000 0.000 0.500
```

Energy of formation = -0.407 eV per atom

---

# 5
Li2TbErGe2 | GGA-PBE | optimized geometry

The structure in CIF format:
```
data_Li2TbErGe2
_chemical_formula_sum 'Li2 Tb1 Er1 Ge2'
_space_group_name_H-M_alt 'P -3 m 1'
_space_group_IT_number 164
_space_group_name_Hall '-P 3 2"'
_cell_length_a 4.4001
_cell_length_b 4.4001
_cell_length_c 7.1488
_cell_angle_alpha 90.00
_cell_angle_beta 90.00
_cell_angle_gamma 120.00
loop_
_atom_site_label
_atom_site_type_symbol
_atom_site_fract_x
_atom_site_fract_y
_atom_site_fract_z
Li1 Li 0.3333 0.6667 0.2380
Tb1 Tb 0.0000 0.0000 0.5000
Er1 Er 0.0000 0.0000 0.0000
Ge1 Ge 0.3333 0.6667 0.7543
```

Energy of formation = -0.686 eV per atom

---

# 6
Li2ErGeTe4 | GGA-PBE | optimized geometry

The structure in CIF format:
```
data_Li2ErGeTe4
_chemical_formula_sum 'Li2 Er1 Ge1 Te4'
_space_group_name_H-M_alt 'P 1 2/m 1'
_space_group_IT_number 10
_cell_length_a 7.365
_cell_length_b 4.150
_cell_length_c 7.487
_cell_angle_alpha 90.00
_cell_angle_beta 108.79
_cell_angle_gamma 90.00
loop_
_space_group_symop_operation_xyz
'x,y,z'
'-x,-y,-z'
'-x,y,-z'
'x,-y,z'
loop_
_atom_site_label
_atom_site_type_symbol
_atom_site_fract_x
_atom_site_fract_y
_atom_site_fract_z
Li1 Li 0.000 0.000 0.000
Li2 Li 0.000 0.500 0.500
Er1 Er 0.500 0.000 0.500
Ge1 Ge 0.500 0.500 0.000
Te1 Te 0.247 0.500 0.242
Te2 Te 0.253 0.000 0.759
```

Raw formation energy = -0.791 eV/atom

---

# 7
LiErTmGe | GGA-PBE | optimized geometry

The structure in CIF format:
```
data_LiErTmGe
_chemical_formula_sum 'Li4 Er4 Tm4 Ge4'
_space_group_name_H-M_alt 'F -4 3 m'
_space_group_IT_number 216
_space_group_name_Hall 'F -4 2 3'
_cell_length_a 7.010
_cell_length_b 7.010
_cell_length_c 7.010
_cell_angle_alpha 90.00
_cell_angle_beta 90.00
_cell_angle_gamma 90.00
loop_
_atom_site_label
_atom_site_type_symbol
_atom_site_fract_x
_atom_site_fract_y
_atom_site_fract_z
Li1 Li 0.000 0.000 0.000
Er1 Er 0.250 0.250 0.750
Tm1 Tm 0.250 0.250 0.250
Ge1 Ge 0.000 0.000 0.500
```

Energy of formation = -0.386 eV per atom

---

# 8
LiYErGe | GGA-PBE | optimized geometry

The structure in CIF format:
```
data_LiYErGe
_chemical_formula_sum 'Li4 Y4 Er4 Ge4'
_space_group_name_H-M_alt 'F -4 3 m'
_space_group_IT_number 216
_space_group_name_Hall 'F -4 2 3'
_cell_length_a 7.063
_cell_length_b 7.063
_cell_length_c 7.063
_cell_angle_alpha 90.00
_cell_angle_beta 90.00
_cell_angle_gamma 90.00
loop_
_atom_site_label
_atom_site_type_symbol
_atom_site_fract_x
_atom_site_fract_y
_atom_site_fract_z
Li1 Li 0.000 0.000 0.000
Y1 Y 0.250 0.250 0.750
Er1 Er 0.250 0.250 0.250
Ge1 Ge 0.000 0.000 0.500
```

Energy of formation = -0.419 eV per atom

---

# 9
Li2ErZn2Ge2 | GGA-PBE | optimized geometry

The structure in CIF format:
```
data_Li2ErZn2Ge2
_chemical_formula_sum 'Li6 Er3 Zn6 Ge6'
_space_group_name_H-M_alt 'R -3 m'
_space_group_IT_number 166
_space_group_name_Hall '-R 3 2"'
_cell_length_a 4.2131
_cell_length_b 4.2131
_cell_length_c 23.2399
_cell_angle_alpha 90.00
_cell_angle_beta 90.00
_cell_angle_gamma 120.00
loop_
_atom_site_label
_atom_site_type_symbol
_atom_site_fract_x
_atom_site_fract_y
_atom_site_fract_z
Li1 Li 0.0000 0.0000 0.1434
Er1 Er 0.0000 0.0000 0.0000
Zn1 Zn 0.0000 0.0000 0.4373
Ge1 Ge 0.0000 0.0000 0.2598
```

Energy of formation = -0.479 eV per atom

---

# 10
ErLuGe | GGA-PBE | optimized geometry

The structure in CIF format:
```
data_ErLuGe
_chemical_formula_sum 'Er4 Lu4 Ge4'
_space_group_name_H-M_alt 'F -4 3 m'
_space_group_IT_number 216
_space_group_name_Hall 'F -4 2 3'
_cell_length_a 6.785
_cell_length_b 6.785
_cell_length_c 6.785
_cell_angle_alpha 90.00
_cell_angle_beta 90.00
_cell_angle_gamma 90.00
loop_
_atom_site_label
_atom_site_type_symbol
_atom_site_fract_x
_atom_site_fract_y
_atom_site_fract_z
Er1 Er 0.000 0.000 0.000
Lu1 Lu 0.000 0.000 0.500
Ge1 Ge 0.250 0.250 0.750
```

Energy above the lowest structure with this stoichiometry = 0.0000 eV per atom
Energy of formation = -0.497 eV per atom

---

# 11
ErLuGe | GGA-PBE | optimized geometry

The structure in CIF format:
```
data_ErLuGe
_chemical_formula_sum 'Er2 Lu2 Ge2'
_space_group_name_H-M_alt 'I 4 m m'
_space_group_IT_number 107
_space_group_name_Hall 'I 4 -2'
_cell_length_a 3.419
_cell_length_b 3.419
_cell_length_c 12.740
_cell_angle_alpha 90.00
_cell_angle_beta 90.00
_cell_angle_gamma 90.00
loop_
_atom_site_label
_atom_site_type_symbol
_atom_site_fract_x
_atom_site_fract_y
_atom_site_fract_z
Er1 Er 0.000 0.000 0.000
Lu1 Lu 0.000 0.000 0.712
Ge1 Ge 0.000 0.000 0.354
```

Energy above the lowest structure with this stoichiometry = 0.0559 eV per atom
Energy of formation = -0.441 eV per atom

---

# 12
ErLuGe | GGA-PBE | optimized geometry

The structure in CIF format:
```
data_ErLuGe
_chemical_formula_sum 'Er1 Lu1 Ge1'
_space_group_name_H-M_alt 'P 3 m 1'
_space_group_IT_number 156
_cell_length_a 4.6611
_cell_length_b 4.6611
_cell_length_c 4.0611
_cell_angle_alpha 90.00
_cell_angle_beta 90.00
_cell_angle_gamma 120.00
loop_
_space_group_symop_operation_xyz
'x,y,z'
'-y,x-y,z'
'-x+y,-x,z'
'-y,-x,z'
'-x+y,y,z'
'x,x-y,z'
loop_
_atom_site_label
_atom_site_type_symbol
_atom_site_fract_x
_atom_site_fract_y
_atom_site_fract_z
Er1 Er 0.0000 0.0000 0.0000
Lu1 Lu 0.3333 0.6667 0.5172
Ge1 Ge 0.6667 0.3333 0.3515
```

Energy above the lowest structure with this stoichiometry = 0.1374 eV per atom
Energy of formation = -0.360 eV per atom